Entry 1:
First-principles (PBE) data for an optimized crystal structure of Li4Ge2PtAu, as listed in OQMD via LeMat-Bulk.

```
Li4Ge2PtAu
1.0
4.332 0.000 0.000
0.000 4.332 0.000
0.000 0.000 6.135
Li Ge Pt Au
4 2 1 1
direct
0.500 0.000 0.747
0.000 0.000 0.500
0.500 0.500 0.000
0.000 0.500 0.253
0.000 0.500 0.731
0.500 0.000 0.269
0.500 0.500 0.500
0.000 0.000 0.000
```

Summary:
space-group type: P-4m2 (115)
volume: 115 Å³/f.u.
total energy: -30.7 eV for the cell shown

---

Entry 2:
First-principles (PBE) data for an optimized crystal structure of PuGaSn, as listed in OQMD via LeMat-Bulk.

```
PuGaSn
1.0
1.136 -4.302 -1.729
-3.439 -3.162 -0.982
-1.013 -1.093 -4.535
Sn Pu Ga
1 1 1
direct
0.750 0.750 0.750
0.250 0.250 0.250
0.000 0.000 0.000
```

Summary:
space-group type: F-43m (216)
volume: 77 Å³/f.u.
total energy: -21.9 eV for the cell shown